Entry 1:
Compound: SiTe2AuCl
Source: the Alexandria database
Functional: GGA-PBE
Structure: relaxed

Output
ΔE_f (raw) in eV/f.u.: 4.93
Space group: P4/mmm (123)
Calculated total energy in eV/atom: -2.380
Volume in Å³/cell: 147.7

The structure in POSCAR format:
```
SiTe2AuCl
1.0
5.5436 0.0000 0.0000
0.0000 4.8059 0.0000
0.0000 0.0000 5.5436
Au Cl Si Te
1 1 1 2
direct
0.0000 0.5000 0.0000
0.0000 0.0000 0.0000
0.5000 0.5000 0.5000
0.0000 0.0000 0.5000
0.5000 0.0000 0.0000
```


Entry 2:
Compound: Ca2Mn2Zn15
Source: the Alexandria database
Functional: GGA-PBE
Structure: relaxed

Output
Space group: R-3m (166)
E_form in meV per atom: -113
Calculated total energy in eV/atom: -2.295
Volume in Å³/cell: 313.0

The structure in POSCAR format:
```
Ca2Mn2Zn15
1.0
-6.2132 1.3974 2.5029
-3.6146 -1.9895 -5.4588
-1.5035 -6.3054 2.1916
Zn Mn Ca
15 2 2
direct
0.2865 0.0000 0.7135
0.5000 0.0000 0.0000
0.3508 0.8499 0.3508
0.0000 0.5000 0.0000
0.1501 0.6492 0.6492
0.2865 0.7135 0.0000
0.7135 0.0000 0.2865
0.0000 0.0000 0.5000
0.6492 0.6492 0.1501
0.3508 0.3508 0.8499
0.0000 0.2865 0.7135
0.6492 0.1501 0.6492
0.8499 0.3508 0.3508
0.7135 0.2865 0.0000
0.0000 0.7135 0.2865
0.0984 0.0984 0.0984
0.9016 0.9016 0.9016
0.3384 0.3384 0.3384
0.6616 0.6616 0.6616
```


Entry 3:
Compound: Tb6Pm2NdHo
Source: the Alexandria database
Functional: GGA-PBE
Structure: relaxed

Output
Space group: C2/c (15)
E_form in meV per atom: 121
Calculated total energy in eV/atom: -4.542
Volume in Å³/cell: 661.4

The structure in POSCAR format:
```
Tb6Pm2NdHo
1.0
9.2873 -2.1534 -2.2348
0.7229 8.5443 -2.0267
0.7229 -2.3420 8.4634
Pm Tb Ho Nd
4 12 2 2
direct
0.0414 0.2920 0.1889
0.4586 0.8111 0.7080
0.9586 0.7080 0.8111
0.5414 0.1889 0.2920
0.0568 0.1230 0.7457
0.3787 0.5001 0.2923
0.8149 0.4214 0.9729
0.6851 0.0271 0.5786
0.5568 0.7457 0.1230
0.1213 0.7077 0.4999
0.8787 0.2923 0.5001
0.4432 0.2543 0.8770
0.3149 0.9729 0.4214
0.9432 0.8770 0.2543
0.6213 0.4999 0.7077
0.1851 0.5786 0.0271
0.2500 0.9816 0.0184
0.7500 0.0184 0.9816
0.7500 0.5949 0.4051
0.2500 0.4051 0.5949
```


Entry 4:
Compound: CaTbPmSm
Source: the Alexandria database
Functional: GGA-PBE
Structure: relaxed

Output
Relative energy among the computed polymorphs in eV/atom: 0.0000
Space group: P4mm (99)
E_form in meV per atom: 51
Calculated total energy in eV/atom: -3.975
Volume in Å³/cell: 140.2

The structure in POSCAR format:
```
CaTbPmSm
1.0
3.6570 0.0001 0.0041
0.0001 3.6570 -0.0041
-0.0125 0.0125 10.4865
Tb Sm Pm Ca
1 1 1 1
direct
0.1461 0.8539 0.2231
0.6463 0.3537 0.4553
0.6461 0.3539 0.9890
0.1464 0.8536 0.7214
```


Entry 5:
Compound: Tb2Si4Ir3Au
Source: the Alexandria database
Functional: GGA-PBE
Structure: relaxed

Output
ΔE_f (raw) in eV/f.u.: -8.94
Space group: P-4m2 (115)
Calculated total energy in eV/atom: -6.976
Volume in Å³/cell: 173.9

The structure in POSCAR format:
```
Tb2Si4Ir3Au
1.0
-1.5700 -2.9185 2.5333
3.7693 -0.5526 1.6993
-2.0440 7.0155 6.8154
Au Tb Ir Si
1 2 3 4
direct
0.5000 0.5000 0.5000
0.0000 0.5000 0.7624
0.5000 0.0000 0.2376
0.0000 0.5000 0.1237
0.5000 0.0000 0.8763
0.0000 0.0000 0.5000
0.5000 0.5000 0.0000
0.0000 0.0000 0.0000
0.5000 0.0000 0.6416
0.0000 0.5000 0.3584
```


Entry 6:
Compound: LaO
Source: the Alexandria database
Functional: GGA-PBE
Structure: relaxed

Output
ΔE_f (raw) in eV/f.u.: -5.69
Space group: Fddd (70)
Calculated total energy in eV/atom: -7.788
Volume in Å³/cell: 809.2

The structure in POSCAR format:
```
LaO
1.0
9.1259 0.0000 0.0000
0.0000 11.2777 0.0000
0.0000 0.0000 7.8623
O La
16 16
direct
0.7500 0.6188 0.7500
0.7500 0.3812 0.2500
0.0000 0.8688 0.0000
0.0000 0.3688 0.5000
0.0000 0.1312 0.0000
0.7500 0.1188 0.2500
0.5000 0.6312 0.0000
0.2500 0.1188 0.7500
0.5000 0.1312 0.5000
0.2500 0.6188 0.2500
0.0000 0.6312 0.5000
0.5000 0.3688 0.0000
0.5000 0.8688 0.5000
0.7500 0.8812 0.7500
0.2500 0.8812 0.2500
0.2500 0.3812 0.7500
0.7941 0.0000 0.0000
0.2941 0.0000 0.5000
0.0441 0.7500 0.2500
0.5441 0.7500 0.7500
0.7059 0.0000 0.5000
0.7059 0.5000 0.0000
0.2941 0.5000 0.0000
0.2059 0.0000 0.0000
0.4559 0.7500 0.2500
0.9559 0.7500 0.7500
0.2059 0.5000 0.5000
0.4559 0.2500 0.7500
0.7941 0.5000 0.5000
0.0441 0.2500 0.7500
0.9559 0.2500 0.2500
0.5441 0.2500 0.2500
```